This record from the Alexandria database describes Ba3CeAs3 after structural relaxation. The functional is GGA-PBE.

Magnetic moment, μB/cell: 4.1
Uncorrected energy, eV/atom: -4.73
Calculated formation energy, eV/atom: -1.06

a = 9.7432 Å, b = 8.4386 Å, c = 13.4805 Å
α = 90.00°, β = 93.94°, γ = 90.00°
Closest atoms and distances in Å follow each position.
Element x y z (fractional)
Ba  0.0871  0.1559  0.1406  3 As 3.24-3.45
Ba  0.0871  0.3441  0.6406  3 As 3.24-3.45
Ba  0.3453  0.7442  0.8039  4 As 3.17-3.39
Ba  0.3453  0.7558  0.3039  4 As 3.17-3.39
Ba  0.3931  0.2358  0.9231  5 As 3.34-3.70
Ba  0.3931  0.2642  0.4231  5 As 3.34-3.70
Ba  0.6069  0.7358  0.5769  5 As 3.34-3.70
Ba  0.6069  0.7642  0.0769  5 As 3.34-3.70
Ba  0.6547  0.2442  0.6961  4 As 3.17-3.39
Ba  0.6547  0.2558  0.1961  4 As 3.17-3.39
Ba  0.9129  0.6559  0.3594  3 As 3.24-3.45
Ba  0.9129  0.8441  0.8594  3 As 3.24-3.45
Ce  0.1584  0.6053  0.0641  4 As 2.84-2.94
Ce  0.1584  0.8947  0.5641  4 As 2.84-2.94
Ce  0.8416  0.1053  0.4359  4 As 2.84-2.94
Ce  0.8416  0.3947  0.9359  4 As 2.84-2.94
As  0.1126  0.0253  0.3672  2 Ce 2.88-2.94
As  0.1126  0.4747  0.8672  2 Ce 2.88-2.94
As  0.2729  0.5944  0.5219  1 Ce 2.84
As  0.2729  0.9056  0.0219  1 Ce 2.84
As  0.3600  0.0834  0.6703  1 Ce 2.84, 1 Ba 3.17
As  0.3600  0.4166  0.1703  1 Ce 2.84, 1 Ba 3.17
As  0.6400  0.5834  0.8297  1 Ce 2.84, 1 Ba 3.17
As  0.6400  0.9166  0.3297  1 Ce 2.84, 1 Ba 3.17
As  0.7271  0.0944  0.9781  1 Ce 2.84
As  0.7271  0.4056  0.4781  1 Ce 2.84
As  0.8874  0.5253  0.1328  2 Ce 2.88-2.94
As  0.8874  0.9747  0.6328  2 Ce 2.88-2.94

***

This record from the Alexandria database describes KOsRh2 after structural relaxation. The functional is GGA-PBE.

Magnetic moment, μB/cell: 1.6
Polymorph energy (0 for the lowest one), eV per atom: 0.737
Uncorrected energy, eV/atom: -5.58
Calculated formation energy, eV/atom: 1.18

a = 4.5729 Å, b = 4.5729 Å, c = 4.5729 Å
α = 60.00°, β = 60.00°, γ = 60.00°
Closest atoms and distances in Å follow each position.
Element x y z (fractional)
K  0.0000  0.0000  0.0000  8 Rh 2.80
Os  0.5000  0.5000  0.5000  8 Rh 2.80
Rh  0.2500  0.2500  0.2500  4 K 2.80, 4 Os 2.80
Rh  0.7500  0.7500  0.7500  4 K 2.80, 4 Os 2.80

***

This record from the Alexandria database describes Pm3In2Cu4 after structural relaxation. The functional is GGA-PBE.

Magnetic moment, μB/cell: 0.0
Uncorrected energy, eV/atom: -4.30
Calculated formation energy, eV/atom: -0.29

a = 5.4778 Å, b = 5.4778 Å, c = 8.9226 Å
α = 93.73°, β = 93.73°, γ = 47.54°
Closest atoms and distances in Å follow each position.
Element x y z (fractional)
Pm  0.0000  0.0000  0.0000  6 Cu 2.99-3.11
Pm  0.3696  0.3696  0.6190  6 Cu 2.95-3.17, 3 In 3.29
Pm  0.6304  0.6304  0.3810  6 Cu 2.95-3.17, 3 In 3.29
In  0.3225  0.3225  0.2270  5 Cu 2.66-2.79
In  0.6775  0.6775  0.7730  5 Cu 2.66-2.79
Cu  0.0709  0.0709  0.6228  1 Cu 2.53, 2 In 2.76
Cu  0.2865  0.2865  0.9290  3 In 2.66-2.79, 2 Cu 2.67, 1 Pm 2.95
Cu  0.7135  0.7135  0.0710  3 In 2.66-2.79, 2 Cu 2.67, 1 Pm 2.95
Cu  0.9291  0.9291  0.3772  1 Cu 2.53, 2 In 2.76